one | Crystalline Sc3TiIr at its relaxed geometry, computed with PBE-GGA.

Cell and atoms, written as CIF:
```
data_Sc3TiIr
_chemical_formula_sum 'Sc3 Ti1 Ir1'
_cell_length_a 4.690
_cell_length_b 4.690
_cell_length_c 4.690
_cell_angle_alpha 90.00
_cell_angle_beta 90.00
_cell_angle_gamma 90.00
_space_group_name_H-M_alt 'P m -3 m'
_space_group_IT_number 221
_space_group_name_Hall '-P 4 2 3'
loop_
_atom_site_label
_atom_site_type_symbol
_atom_site_fract_x
_atom_site_fract_y
_atom_site_fract_z
Sc1 Sc 0.000 0.000 0.500
Ti1 Ti 0.000 0.000 0.000
Ir1 Ir 0.500 0.500 0.500
```

two | Crystalline Sc3TiIr at its relaxed geometry, computed with PBE-GGA.

Cell and atoms, written as CIF:
```
data_Sc3TiIr
_chemical_formula_sum 'Sc3 Ti1 Ir1'
_cell_length_a 5.016
_cell_length_b 5.016
_cell_length_c 5.016
_cell_angle_alpha 90.00
_cell_angle_beta 90.00
_cell_angle_gamma 90.00
_space_group_name_H-M_alt 'P m -3 m'
_space_group_IT_number 221
_space_group_name_Hall '-P 4 2 3'
loop_
_atom_site_label
_atom_site_type_symbol
_atom_site_fract_x
_atom_site_fract_y
_atom_site_fract_z
Sc1 Sc 0.000 0.000 0.500
Ti1 Ti 0.500 0.500 0.500
Ir1 Ir 0.000 0.000 0.000
```

two is favored, and the nearest alternative lies 756 meV per atom above it.

one | Crystalline ScTiIr at its relaxed geometry, computed with PBE-GGA.

Cell and atoms, written as CIF:
```
data_ScTiIr
_chemical_formula_sum 'Sc4 Ti4 Ir4'
_cell_length_a 6.215
_cell_length_b 6.215
_cell_length_c 6.215
_cell_angle_alpha 90.00
_cell_angle_beta 90.00
_cell_angle_gamma 90.00
_space_group_name_H-M_alt 'F -4 3 m'
_space_group_IT_number 216
_space_group_name_Hall 'F -4 2 3'
loop_
_atom_site_label
_atom_site_type_symbol
_atom_site_fract_x
_atom_site_fract_y
_atom_site_fract_z
Sc1 Sc 0.000 0.000 0.000
Ti1 Ti 0.000 0.000 0.500
Ir1 Ir 0.250 0.250 0.750
```

two | Crystalline ScTiIr at its relaxed geometry, computed with PBE-GGA.

Cell and atoms, written as CIF:
```
data_ScTiIr
_chemical_formula_sum 'Sc2 Ti2 Ir2'
_cell_length_a 3.199
_cell_length_b 3.199
_cell_length_c 10.142
_cell_angle_alpha 90.00
_cell_angle_beta 90.00
_cell_angle_gamma 90.00
_space_group_name_H-M_alt 'I 4 m m'
_space_group_IT_number 107
_space_group_name_Hall 'I 4 -2'
loop_
_atom_site_label
_atom_site_type_symbol
_atom_site_fract_x
_atom_site_fract_y
_atom_site_fract_z
Sc1 Sc 0.000 0.000 0.000
Ti1 Ti 0.000 0.000 0.694
Ir1 Ir 0.000 0.000 0.331
```

two is favored, and the nearest alternative lies 54 meV per atom above it.

one | Crystalline ScTiIr at its relaxed geometry, computed with PBE-GGA.

Cell and atoms, written as CIF:
```
data_ScTiIr
_chemical_formula_sum 'Sc2 Ti2 Ir2'
_cell_length_a 5.281
_cell_length_b 4.386
_cell_length_c 5.320
_cell_angle_alpha 90.00
_cell_angle_beta 107.70
_cell_angle_gamma 90.00
_space_group_name_H-M_alt 'P 1 21/m 1'
_space_group_IT_number 11
loop_
_space_group_symop_operation_xyz
'x,y,z'
'-x,-y,-z'
'-x,y+1/2,-z'
'x,-y+1/2,z'
loop_
_atom_site_label
_atom_site_type_symbol
_atom_site_fract_x
_atom_site_fract_y
_atom_site_fract_z
Sc1 Sc 0.076 0.250 0.281
Ti1 Ti 0.471 0.250 0.839
Ir1 Ir 0.375 0.750 0.598
```

two | Crystalline ScTiIr at its relaxed geometry, computed with PBE-GGA.

Cell and atoms, written as CIF:
```
data_ScTiIr
_chemical_formula_sum 'Sc3 Ti3 Ir3'
_cell_length_a 6.5816
_cell_length_b 6.5816
_cell_length_c 4.3770
_cell_angle_alpha 90.00
_cell_angle_beta 90.00
_cell_angle_gamma 120.00
_space_group_name_H-M_alt 'P -6 2 m'
_space_group_IT_number 189
_space_group_name_Hall 'P -6 -2'
loop_
_atom_site_label
_atom_site_type_symbol
_atom_site_fract_x
_atom_site_fract_y
_atom_site_fract_z
Sc1 Sc 0.0000 0.4231 0.0000
Ti1 Ti 0.0000 0.7495 0.5000
Ir1 Ir 0.0000 0.0000 0.0000
Ir2 Ir 0.3333 0.6667 0.5000
```

two is favored, and the nearest alternative lies 173 meV per atom above it.

one | Crystalline TmSc2Ir at its relaxed geometry, computed with PBE-GGA.

Cell and atoms, written as CIF:
```
data_TmSc2Ir
_chemical_formula_sum 'Tm4 Sc8 Ir4'
_cell_length_a 3.786
_cell_length_b 11.314
_cell_length_c 8.489
_cell_angle_alpha 90.00
_cell_angle_beta 90.00
_cell_angle_gamma 90.00
_space_group_name_H-M_alt 'C m c m'
_space_group_IT_number 63
_space_group_name_Hall '-C 2c 2'
loop_
_atom_site_label
_atom_site_type_symbol
_atom_site_fract_x
_atom_site_fract_y
_atom_site_fract_z
Tm1 Tm 0.000 0.065 0.250
Sc1 Sc 0.000 0.356 0.064
Ir1 Ir 0.000 0.247 0.750
```

two | Crystalline TmSc2Ir at its relaxed geometry, computed with PBE-GGA.

Cell and atoms, written as CIF:
```
data_TmSc2Ir
_chemical_formula_sum 'Tm1 Sc2 Ir1'
_cell_length_a 3.248
_cell_length_b 3.248
_cell_length_c 8.426
_cell_angle_alpha 90.00
_cell_angle_beta 90.00
_cell_angle_gamma 90.00
_space_group_name_H-M_alt 'P 4/m m m'
_space_group_IT_number 123
_space_group_name_Hall '-P 4 2'
loop_
_atom_site_label
_atom_site_type_symbol
_atom_site_fract_x
_atom_site_fract_y
_atom_site_fract_z
Tm1 Tm 0.000 0.000 0.000
Sc1 Sc 0.500 0.500 0.311
Ir1 Ir 0.000 0.000 0.500
```

one is favored, and the nearest alternative lies 119 meV per atom above it.

one | Crystalline TmSc2Ir at its relaxed geometry, computed with PBE-GGA.

Cell and atoms, written as CIF:
```
data_TmSc2Ir
_chemical_formula_sum 'Tm4 Sc8 Ir4'
_cell_length_a 7.052
_cell_length_b 8.632
_cell_length_c 6.002
_cell_angle_alpha 90.00
_cell_angle_beta 90.00
_cell_angle_gamma 90.00
_space_group_name_H-M_alt 'P n m a'
_space_group_IT_number 62
loop_
_space_group_symop_operation_xyz
'x,y,z'
'-x,-y,-z'
'-x+1/2,-y,z+1/2'
'x+1/2,y,-z+1/2'
'x+1/2,-y+1/2,-z+1/2'
'-x+1/2,y+1/2,z+1/2'
'-x,y+1/2,-z'
'x,-y+1/2,z'
loop_
_atom_site_label
_atom_site_type_symbol
_atom_site_fract_x
_atom_site_fract_y
_atom_site_fract_z
Tm1 Tm 0.029 0.250 0.119
Sc1 Sc 0.175 0.060 0.665
Ir1 Ir 0.116 0.750 0.439
```

two | Crystalline TmSc2Ir at its relaxed geometry, computed with PBE-GGA.

Cell and atoms, written as CIF:
```
data_TmSc2Ir
_chemical_formula_sum 'Tm3 Sc6 Ir3'
_cell_length_a 3.5595
_cell_length_b 3.5595
_cell_length_c 27.1269
_cell_angle_alpha 90.00
_cell_angle_beta 90.00
_cell_angle_gamma 120.00
_space_group_name_H-M_alt 'R -3 m'
_space_group_IT_number 166
_space_group_name_Hall '-R 3 2"'
loop_
_atom_site_label
_atom_site_type_symbol
_atom_site_fract_x
_atom_site_fract_y
_atom_site_fract_z
Tm1 Tm 0.0000 0.0000 0.0000
Sc1 Sc 0.0000 0.0000 0.2264
Ir1 Ir 0.0000 0.0000 0.5000
```

one is favored, and the nearest alternative lies 353 meV per atom above it.

one | Crystalline Tm2ScIr at its relaxed geometry, computed with PBE-GGA.

Cell and atoms, written as CIF:
```
data_Tm2ScIr
_chemical_formula_sum 'Tm2 Sc1 Ir1'
_cell_length_a 3.454
_cell_length_b 3.454
_cell_length_c 8.086
_cell_angle_alpha 90.00
_cell_angle_beta 90.00
_cell_angle_gamma 90.00
_space_group_name_H-M_alt 'P 4/m m m'
_space_group_IT_number 123
_space_group_name_Hall '-P 4 2'
loop_
_atom_site_label
_atom_site_type_symbol
_atom_site_fract_x
_atom_site_fract_y
_atom_site_fract_z
Tm1 Tm 0.000 0.000 0.196
Sc1 Sc 0.500 0.500 0.500
Ir1 Ir 0.500 0.500 0.000
```

two | Crystalline Tm2ScIr at its relaxed geometry, computed with PBE-GGA.

Cell and atoms, written as CIF:
```
data_Tm2ScIr
_chemical_formula_sum 'Tm8 Sc4 Ir4'
_cell_length_a 3.764
_cell_length_b 11.649
_cell_length_c 8.834
_cell_angle_alpha 90.00
_cell_angle_beta 90.00
_cell_angle_gamma 90.00
_space_group_name_H-M_alt 'C m c m'
_space_group_IT_number 63
_space_group_name_Hall '-C 2c 2'
loop_
_atom_site_label
_atom_site_type_symbol
_atom_site_fract_x
_atom_site_fract_y
_atom_site_fract_z
Tm1 Tm 0.000 0.139 0.064
Sc1 Sc 0.000 0.427 0.250
Ir1 Ir 0.000 0.237 0.750
```

two is favored, and the nearest alternative lies 154 meV per atom above it.

one | Crystalline TmScIr at its relaxed geometry, computed with PBE-GGA.

Cell and atoms, written as CIF:
```
data_TmScIr
_chemical_formula_sum 'Tm12 Sc12 Ir12'
_cell_length_a 8.812
_cell_length_b 12.311
_cell_length_c 7.101
_cell_angle_alpha 90.00
_cell_angle_beta 90.00
_cell_angle_gamma 90.00
_space_group_name_H-M_alt 'I m a 2'
_space_group_IT_number 46
loop_
_space_group_symop_operation_xyz
'x,y,z'
'-x,-y,z'
'-x+1/2,y,z'
'x+1/2,-y,z'
'x+1/2,y+1/2,z+1/2'
'-x+1/2,-y+1/2,z+1/2'
'-x,y+1/2,z+1/2'
'x,-y+1/2,z+1/2'
loop_
_atom_site_label
_atom_site_type_symbol
_atom_site_fract_x
_atom_site_fract_y
_atom_site_fract_z
Tm1 Tm 0.250 0.000 0.000
Tm2 Tm 0.250 0.206 0.380
Tm3 Tm 0.250 0.707 0.881
Sc1 Sc 0.000 0.000 0.333
Sc2 Sc 0.000 0.127 0.714
Ir1 Ir 0.000 0.167 0.087
Ir2 Ir 0.250 0.000 0.587
```

two | Crystalline TmScIr at its relaxed geometry, computed with PBE-GGA.

Cell and atoms, written as CIF:
```
data_TmScIr
_chemical_formula_sum 'Tm2 Sc2 Ir2'
_cell_length_a 3.258
_cell_length_b 3.258
_cell_length_c 12.451
_cell_angle_alpha 90.00
_cell_angle_beta 90.00
_cell_angle_gamma 90.00
_space_group_name_H-M_alt 'I 4 m m'
_space_group_IT_number 107
_space_group_name_Hall 'I 4 -2'
loop_
_atom_site_label
_atom_site_type_symbol
_atom_site_fract_x
_atom_site_fract_y
_atom_site_fract_z
Tm1 Tm 0.000 0.000 0.000
Sc1 Sc 0.000 0.000 0.268
Ir1 Ir 0.000 0.000 0.643
```

three | Crystalline TmScIr at its relaxed geometry, computed with PBE-GGA.

Cell and atoms, written as CIF:
```
data_TmScIr
_chemical_formula_sum 'Tm4 Sc4 Ir4'
_cell_length_a 6.550
_cell_length_b 6.550
_cell_length_c 6.550
_cell_angle_alpha 90.00
_cell_angle_beta 90.00
_cell_angle_gamma 90.00
_space_group_name_H-M_alt 'F -4 3 m'
_space_group_IT_number 216
_space_group_name_Hall 'F -4 2 3'
loop_
_atom_site_label
_atom_site_type_symbol
_atom_site_fract_x
_atom_site_fract_y
_atom_site_fract_z
Tm1 Tm 0.000 0.000 0.000
Sc1 Sc 0.000 0.000 0.500
Ir1 Ir 0.250 0.250 0.250
```

one is favored, and the nearest alternative lies 77 meV per atom above it.

one | Crystalline ScIrW at its relaxed geometry, computed with PBE-GGA.

Cell and atoms, written as CIF:
```
data_ScIrW
_chemical_formula_sum 'Sc2 Ir2 W2'
_cell_length_a 2.943
_cell_length_b 2.943
_cell_length_c 11.868
_cell_angle_alpha 90.00
_cell_angle_beta 90.00
_cell_angle_gamma 90.00
_space_group_name_H-M_alt 'I 4 m m'
_space_group_IT_number 107
_space_group_name_Hall 'I 4 -2'
loop_
_atom_site_label
_atom_site_type_symbol
_atom_site_fract_x
_atom_site_fract_y
_atom_site_fract_z
Sc1 Sc 0.000 0.000 0.000
Ir1 Ir 0.000 0.000 0.669
W1 W 0.000 0.000 0.311
```

two | Crystalline ScIrW at its relaxed geometry, computed with PBE-GGA.

Cell and atoms, written as CIF:
```
data_ScIrW
_chemical_formula_sum 'Sc4 Ir4 W4'
_cell_length_a 6.176
_cell_length_b 6.176
_cell_length_c 6.176
_cell_angle_alpha 90.00
_cell_angle_beta 90.00
_cell_angle_gamma 90.00
_space_group_name_H-M_alt 'F -4 3 m'
_space_group_IT_number 216
_space_group_name_Hall 'F -4 2 3'
loop_
_atom_site_label
_atom_site_type_symbol
_atom_site_fract_x
_atom_site_fract_y
_atom_site_fract_z
Sc1 Sc 0.000 0.000 0.000
Ir1 Ir 0.250 0.250 0.250
W1 W 0.000 0.000 0.500
```

three | Crystalline ScIrW at its relaxed geometry, computed with PBE-GGA.

Cell and atoms, written as CIF:
```
data_ScIrW
_chemical_formula_sum 'Sc1 Ir1 W1'
_cell_length_a 4.5091
_cell_length_b 4.5091
_cell_length_c 2.8387
_cell_angle_alpha 90.00
_cell_angle_beta 90.00
_cell_angle_gamma 120.00
_space_group_name_H-M_alt 'P 3 m 1'
_space_group_IT_number 156
loop_
_space_group_symop_operation_xyz
'x,y,z'
'-y,x-y,z'
'-x+y,-x,z'
'-y,-x,z'
'-x+y,y,z'
'x,x-y,z'
loop_
_atom_site_label
_atom_site_type_symbol
_atom_site_fract_x
_atom_site_fract_y
_atom_site_fract_z
Sc1 Sc 0.0000 0.0000 0.0000
Ir1 Ir 0.6667 0.3333 0.6245
W1 W 0.3333 0.6667 0.3760
```

one is favored, and the nearest alternative lies 138 meV per atom above it.